Entry 1:
# Ho3ErAl8 | the Alexandria database | PBE | optimized geometry
# Calculated formation energy in eV/atom: -0.513
# Energy above the lowest structure with this stoichiometry in meV/atom: 0
# Space group: R3m (160)
data_Ho3ErAl8
_cell_length_a 9.623
_cell_length_b 9.623
_cell_length_c 9.623
_cell_angle_alpha 33.41
_cell_angle_beta 33.41
_cell_angle_gamma 33.41
_symmetry_space_group_name_H-M 'P 1'
_symmetry_Int_Tables_number 1
loop_
_symmetry_equiv_pos_as_xyz
'x,y,z'
loop_
_atom_site_label
_atom_site_type_symbol
_atom_site_fract_x
_atom_site_fract_y
_atom_site_fract_z
Ho1 Ho 0.000 0.000 0.000
Ho2 Ho 0.125 0.125 0.125
Ho3 Ho 0.625 0.625 0.625
Er1 Er 0.500 0.500 0.500
Al1 Al 0.062 0.062 0.562
Al2 Al 0.062 0.562 0.062
Al3 Al 0.062 0.562 0.562
Al4 Al 0.312 0.312 0.312
Al5 Al 0.562 0.062 0.062
Al6 Al 0.562 0.062 0.562
Al7 Al 0.562 0.562 0.062
Al8 Al 0.812 0.812 0.812

Entry 2:
# Ba2TlBi4 | the Alexandria database | PBE | optimized geometry
# Calculated formation energy in eV/atom: -0.509
# Space group: I4/mmm (139)
data_Ba2TlBi4
_cell_length_a 6.995
_cell_length_b 6.995
_cell_length_c 10.931
_cell_angle_alpha 90.00
_cell_angle_beta 90.00
_cell_angle_gamma 90.00
_symmetry_space_group_name_H-M 'P 1'
_symmetry_Int_Tables_number 1
loop_
_symmetry_equiv_pos_as_xyz
'x,y,z'
loop_
_atom_site_label
_atom_site_type_symbol
_atom_site_fract_x
_atom_site_fract_y
_atom_site_fract_z
Ba1 Ba 0.000 0.500 0.000
Ba2 Ba 0.000 0.500 0.500
Ba3 Ba 0.500 0.000 0.000
Ba4 Ba 0.500 0.000 0.500
Tl1 Tl 0.000 0.000 0.000
Tl2 Tl 0.500 0.500 0.500
Bi1 Bi 0.250 0.250 0.250
Bi2 Bi 0.250 0.250 0.750
Bi3 Bi 0.250 0.750 0.250
Bi4 Bi 0.250 0.750 0.750
Bi5 Bi 0.750 0.250 0.250
Bi6 Bi 0.750 0.250 0.750
Bi7 Bi 0.750 0.750 0.250
Bi8 Bi 0.750 0.750 0.750

Entry 3:
# AcNiPIr6 | the Alexandria database | PBE | optimized geometry
# Calculated formation energy in eV/atom: 0.207
# Space group: Imma (74)
data_AcNiPIr6
_cell_length_a 8.054
_cell_length_b 8.054
_cell_length_c 8.054
_cell_angle_alpha 136.19
_cell_angle_beta 109.78
_cell_angle_gamma 86.56
_symmetry_space_group_name_H-M 'P 1'
_symmetry_Int_Tables_number 1
loop_
_symmetry_equiv_pos_as_xyz
'x,y,z'
loop_
_atom_site_label
_atom_site_type_symbol
_atom_site_fract_x
_atom_site_fract_y
_atom_site_fract_z
Ac1 Ac 0.424 0.174 0.250
Ac2 Ac 0.576 0.826 0.750
Ni1 Ni 0.000 0.000 0.500
Ni2 Ni 0.000 0.500 0.000
P1 P 0.000 0.500 0.500
P2 P 0.500 0.500 0.000
Ir1 Ir 0.108 0.374 0.214
Ir2 Ir 0.108 0.894 0.734
Ir3 Ir 0.161 0.911 0.250
Ir4 Ir 0.314 0.564 0.750
Ir5 Ir 0.340 0.106 0.714
Ir6 Ir 0.340 0.626 0.234
Ir7 Ir 0.660 0.374 0.766
Ir8 Ir 0.660 0.894 0.286
Ir9 Ir 0.686 0.436 0.250
Ir10 Ir 0.839 0.089 0.750
Ir11 Ir 0.892 0.106 0.266
Ir12 Ir 0.892 0.626 0.786

Entry 4:
# La5PrCu6 | the Alexandria database | PBE | optimized geometry
# Calculated formation energy in eV/atom: -0.131
# Space group: Immm (71)
data_La5PrCu6
_cell_length_a 8.950
_cell_length_b 8.950
_cell_length_c 8.950
_cell_angle_alpha 146.32
_cell_angle_beta 132.15
_cell_angle_gamma 59.79
_symmetry_space_group_name_H-M 'P 1'
_symmetry_Int_Tables_number 1
loop_
_symmetry_equiv_pos_as_xyz
'x,y,z'
loop_
_atom_site_label
_atom_site_type_symbol
_atom_site_fract_x
_atom_site_fract_y
_atom_site_fract_z
La1 La 0.000 0.000 0.000
La2 La 0.166 0.666 0.500
La3 La 0.332 0.332 0.000
La4 La 0.668 0.668 0.000
La5 La 0.834 0.334 0.500
Pr1 Pr 0.500 0.000 0.500
Cu1 Cu 0.088 0.835 0.253
Cu2 Cu 0.255 0.500 0.755
Cu3 Cu 0.418 0.165 0.253
Cu4 Cu 0.582 0.835 0.747
Cu5 Cu 0.745 0.500 0.245
Cu6 Cu 0.912 0.165 0.747

Entry 5:
# AcLuZnPd | the Alexandria database | PBE | optimized geometry
# Calculated formation energy in eV/atom: -0.469
# Space group: F-43m (216)
data_AcLuZnPd
_cell_length_a 7.364
_cell_length_b 7.364
_cell_length_c 7.364
_cell_angle_alpha 90.00
_cell_angle_beta 90.00
_cell_angle_gamma 90.00
_symmetry_space_group_name_H-M 'P 1'
_symmetry_Int_Tables_number 1
loop_
_symmetry_equiv_pos_as_xyz
'x,y,z'
loop_
_atom_site_label
_atom_site_type_symbol
_atom_site_fract_x
_atom_site_fract_y
_atom_site_fract_z
Ac1 Ac 0.000 0.000 0.000
Ac2 Ac 0.000 0.500 0.500
Ac3 Ac 0.500 0.000 0.500
Ac4 Ac 0.500 0.500 0.000
Lu1 Lu 0.000 0.000 0.500
Lu2 Lu 0.000 0.500 0.000
Lu3 Lu 0.500 0.000 0.000
Lu4 Lu 0.500 0.500 0.500
Zn1 Zn 0.250 0.250 0.250
Zn2 Zn 0.250 0.750 0.750
Zn3 Zn 0.750 0.250 0.750
Zn4 Zn 0.750 0.750 0.250
Pd1 Pd 0.250 0.250 0.750
Pd2 Pd 0.250 0.750 0.250
Pd3 Pd 0.750 0.250 0.250
Pd4 Pd 0.750 0.750 0.750

Entry 6:
# YCdHg2 | the Alexandria database | PBE | optimized geometry
# Calculated formation energy in eV/atom: -0.325
# Space group: P4/mmm (123)
data_YCdHg2
_cell_length_a 4.729
_cell_length_b 4.729
_cell_length_c 4.341
_cell_angle_alpha 90.00
_cell_angle_beta 90.00
_cell_angle_gamma 90.00
_symmetry_space_group_name_H-M 'P 1'
_symmetry_Int_Tables_number 1
loop_
_symmetry_equiv_pos_as_xyz
'x,y,z'
loop_
_atom_site_label
_atom_site_type_symbol
_atom_site_fract_x
_atom_site_fract_y
_atom_site_fract_z
Y1 Y 0.000 0.000 0.000
Cd1 Cd 0.500 0.500 0.000
Hg1 Hg 0.000 0.500 0.500
Hg2 Hg 0.500 0.000 0.500

Entry 7:
# SrTa4Te8 | the Alexandria database | PBE | optimized geometry
# Formation energy from raw total energies in eV per formula unit: -5.49
# Space group: R-3m (166)
data_SrTa4Te8
_cell_length_a 9.654
_cell_length_b 9.654
_cell_length_c 9.654
_cell_angle_alpha 45.25
_cell_angle_beta 45.25
_cell_angle_gamma 45.25
_symmetry_space_group_name_H-M 'P 1'
_symmetry_Int_Tables_number 1
loop_
_symmetry_equiv_pos_as_xyz
'x,y,z'
loop_
_atom_site_label
_atom_site_type_symbol
_atom_site_fract_x
_atom_site_fract_y
_atom_site_fract_z
Sr1 Sr 0.000 0.000 0.000
Ta1 Ta 0.000 0.000 0.500
Ta2 Ta 0.000 0.500 0.000
Ta3 Ta 0.500 0.000 0.000
Ta4 Ta 0.500 0.500 0.500
Te1 Te 0.237 0.237 0.237
Te2 Te 0.240 0.735 0.735
Te3 Te 0.265 0.265 0.760
Te4 Te 0.265 0.760 0.265
Te5 Te 0.735 0.240 0.735
Te6 Te 0.735 0.735 0.240
Te7 Te 0.760 0.265 0.265
Te8 Te 0.763 0.763 0.763

Entry 8:
# Sr2AsIr | the Alexandria database | PBE | optimized geometry
# Calculated formation energy in eV/atom: -0.591
# Space group: R3m (160)
data_Sr2AsIr
_cell_length_a 4.353
_cell_length_b 4.353
_cell_length_c 24.178
_cell_angle_alpha 90.00
_cell_angle_beta 90.00
_cell_angle_gamma 120.00
_symmetry_space_group_name_H-M 'P 1'
_symmetry_Int_Tables_number 1
loop_
_symmetry_equiv_pos_as_xyz
'x,y,z'
loop_
_atom_site_label
_atom_site_type_symbol
_atom_site_fract_x
_atom_site_fract_y
_atom_site_fract_z
Sr1 Sr 0.000 0.000 0.000
Sr2 Sr 0.000 0.000 0.164
Sr3 Sr 0.333 0.667 0.667
Sr4 Sr 0.333 0.667 0.831
Sr5 Sr 0.667 0.333 0.333
Sr6 Sr 0.667 0.333 0.498
As1 As 0.000 0.000 0.749
As2 As 0.333 0.667 0.416
As3 As 0.667 0.333 0.082
Ir1 Ir 0.000 0.000 0.415
Ir2 Ir 0.333 0.667 0.082
Ir3 Ir 0.667 0.333 0.749

Entry 9:
# DyTlAgBr5 | the Alexandria database | PBE | optimized geometry
# Formation energy from raw total energies in eV per formula unit: -9.82
# Space group: C2/c (15)
data_DyTlAgBr5
_cell_length_a 7.966
_cell_length_b 7.966
_cell_length_c 10.669
_cell_angle_alpha 102.48
_cell_angle_beta 102.48
_cell_angle_gamma 109.52
_symmetry_space_group_name_H-M 'P 1'
_symmetry_Int_Tables_number 1
loop_
_symmetry_equiv_pos_as_xyz
'x,y,z'
loop_
_atom_site_label
_atom_site_type_symbol
_atom_site_fract_x
_atom_site_fract_y
_atom_site_fract_z
Dy1 Dy 0.000 0.000 0.000
Dy2 Dy 0.000 0.000 0.500
Tl1 Tl 0.354 0.646 0.750
Tl2 Tl 0.646 0.354 0.250
Ag1 Ag 0.309 0.691 0.250
Ag2 Ag 0.691 0.309 0.750
Br1 Br 0.075 0.925 0.750
Br2 Br 0.083 0.691 0.403
Br3 Br 0.256 0.370 0.059
Br4 Br 0.309 0.917 0.097
Br5 Br 0.370 0.256 0.559
Br6 Br 0.630 0.744 0.441
Br7 Br 0.691 0.083 0.903
Br8 Br 0.744 0.630 0.941
Br9 Br 0.917 0.309 0.597
Br10 Br 0.925 0.075 0.250

Entry 10:
# Ta5W4 | the Alexandria database | PBE | optimized geometry
# Calculated formation energy in eV/atom: -0.095
# Energy above the lowest structure with this stoichiometry in meV/atom: 0
# Space group: I4/mmm (139)
data_Ta5W4
_cell_length_a 7.096
_cell_length_b 7.096
_cell_length_c 7.096
_cell_angle_alpha 92.99
_cell_angle_beta 92.99
_cell_angle_gamma 153.58
_symmetry_space_group_name_H-M 'P 1'
_symmetry_Int_Tables_number 1
loop_
_symmetry_equiv_pos_as_xyz
'x,y,z'
loop_
_atom_site_label
_atom_site_type_symbol
_atom_site_fract_x
_atom_site_fract_y
_atom_site_fract_z
Ta1 Ta 0.000 0.000 0.000
Ta2 Ta 0.000 0.328 0.328
Ta3 Ta 0.000 0.672 0.672
Ta4 Ta 0.328 0.000 0.328
Ta5 Ta 0.672 0.000 0.672
W1 W 0.331 0.331 0.662
W2 W 0.331 0.669 0.000
W3 W 0.669 0.331 0.000
W4 W 0.669 0.669 0.338